Entry 1:
{
  "formula": "SmPd3S4",
  "functional": "GGA-PBE",
  "state": "optimized geometry",
  "total_energy_ev_per_atom": -5.50,
  "lattice": [[6.735, 0.000, 0.000], [0.000, 6.735, 0.000], [0.000, 0.000, 6.735]],
  "species": ["Pd", "Pd", "Pd", "Pd", "Pd", "Pd", "S", "S", "S", "S", "S", "S", "S", "S", "Sm", "Sm"],
  "frac_coords": [[0.250, 0.500, 0.000], [0.750, 0.500, 0.000], [0.500, 0.000, 0.250], [0.000, 0.250, 0.500], [0.000, 0.750, 0.500], [0.500, 0.000, 0.750], [0.250, 0.250, 0.250], [0.750, 0.250, 0.250], [0.250, 0.750, 0.250], [0.750, 0.750, 0.250], [0.250, 0.250, 0.750], [0.750, 0.250, 0.750], [0.250, 0.750, 0.750], [0.750, 0.750, 0.750], [0.000, 0.000, 0.000], [0.500, 0.500, 0.500]]
}

***

Entry 2:
{
  "formula": "Sn2PdS",
  "functional": "GGA-PBE",
  "state": "optimized geometry",
  "total_energy_ev_per_atom": -4.71,
  "lattice": [[-0.812, -0.734, 3.665], [-2.068, -3.419, -1.143], [9.740, -5.591, -0.898]],
  "species": ["Pd", "Pd", "S", "S", "Sn", "Sn", "Sn", "Sn"],
  "frac_coords": [[0.918, 0.750, 0.410], [0.082, 0.250, 0.590], [0.273, 0.250, 0.124], [0.727, 0.750, 0.876], [0.782, 0.750, 0.158], [0.413, 0.250, 0.375], [0.587, 0.750, 0.625], [0.218, 0.250, 0.842]]
}

***

Entry 3:
{
  "formula": "Sn8Pd2S",
  "functional": "GGA-PBE",
  "state": "optimized geometry",
  "total_energy_ev_per_atom": -4.37,
  "lattice": [[-1.346, 7.185, 7.689], [10.126, 0.985, 0.853], [-0.136, 7.447, -6.983]],
  "species": ["Pd", "Pd", "Pd", "Pd", "Pd", "Pd", "Pd", "Pd", "S", "S", "S", "S", "Sn", "Sn", "Sn", "Sn", "Sn", "Sn", "Sn", "Sn", "Sn", "Sn", "Sn", "Sn", "Sn", "Sn", "Sn", "Sn", "Sn", "Sn", "Sn", "Sn", "Sn", "Sn", "Sn", "Sn", "Sn", "Sn", "Sn", "Sn", "Sn", "Sn", "Sn", "Sn"],
  "frac_coords": [[0.265, 0.780, 0.220], [0.735, 0.780, 0.220], [0.235, 0.280, 0.280], [0.765, 0.280, 0.280], [0.235, 0.720, 0.720], [0.765, 0.720, 0.720], [0.265, 0.220, 0.780], [0.735, 0.220, 0.780], [0.000, 0.500, 0.000], [0.500, 0.500, 0.000], [0.000, 0.000, 0.500], [0.500, 0.000, 0.500], [0.216, 0.000, 0.000], [0.784, 0.000, 0.000], [0.327, 0.308, 0.034], [0.673, 0.308, 0.034], [0.500, 0.893, 0.107], [0.000, 0.845, 0.155], [0.000, 0.159, 0.159], [0.173, 0.534, 0.192], [0.827, 0.534, 0.192], [0.327, 0.034, 0.308], [0.673, 0.034, 0.308], [0.500, 0.659, 0.341], [0.500, 0.345, 0.345], [0.000, 0.393, 0.393], [0.173, 0.808, 0.466], [0.827, 0.808, 0.466], [0.284, 0.500, 0.500], [0.716, 0.500, 0.500], [0.173, 0.192, 0.534], [0.827, 0.192, 0.534], [0.000, 0.607, 0.607], [0.500, 0.655, 0.655], [0.500, 0.341, 0.659], [0.327, 0.966, 0.692], [0.673, 0.966, 0.692], [0.173, 0.466, 0.808], [0.827, 0.466, 0.808], [0.000, 0.841, 0.841], [0.000, 0.155, 0.845], [0.500, 0.107, 0.893], [0.327, 0.692, 0.966], [0.673, 0.692, 0.966]]
}

***

Entry 4:
{
  "formula": "SnPdS3",
  "functional": "GGA-PBE",
  "state": "optimized geometry",
  "total_energy_ev_per_atom": -4.56,
  "lattice": [[-4.772, 4.420, -0.296], [-5.953, -6.796, -5.505], [-1.165, -3.664, 5.783]],
  "species": ["Pd", "Pd", "Pd", "Pd", "S", "S", "S", "S", "S", "S", "S", "S", "S", "S", "S", "S", "Sn", "Sn", "Sn", "Sn"],
  "frac_coords": [[0.121, 0.754, 0.011], [0.879, 0.254, 0.489], [0.121, 0.746, 0.511], [0.879, 0.246, 0.989], [0.801, 0.532, 0.140], [0.628, 0.226, 0.175], [0.868, 0.726, 0.196], [0.132, 0.226, 0.304], [0.372, 0.726, 0.325], [0.199, 0.032, 0.360], [0.801, 0.968, 0.640], [0.628, 0.274, 0.675], [0.868, 0.774, 0.696], [0.132, 0.274, 0.804], [0.372, 0.774, 0.825], [0.199, 0.468, 0.860], [0.546, 0.944, 0.248], [0.454, 0.444, 0.252], [0.546, 0.556, 0.748], [0.454, 0.056, 0.752]]
}

***

Results for calculated density: 6.5, 7.1, 7.2, 4.6 (in g/cm3, following the order of the records).